Material: CaFeHg2
Method: DFT, PBE
State: relaxed

Calculated values
- Space-group type: Imm2

Geometry as CIF:
```
data_CaFeHg2
_cell_length_a 4.068
_cell_length_b 4.665
_cell_length_c 9.407
_cell_angle_alpha 90.00
_cell_angle_beta 90.00
_cell_angle_gamma 90.00
_symmetry_space_group_name_H-M 'P 1'
_symmetry_Int_Tables_number 1
loop_
_symmetry_equiv_pos_as_xyz
'x,y,z'
loop_
_atom_site_label
_atom_site_type_symbol
_atom_site_fract_x
_atom_site_fract_y
_atom_site_fract_z
_atom_site_occupancy
Ca1 Ca 0.000 0.000 0.000 1
Ca2 Ca 0.500 0.500 0.500 1
Fe1 Fe 0.000 0.500 0.241 1
Fe2 Fe 0.500 0.000 0.741 1
Hg1 Hg 0.000 0.000 0.532 1
Hg2 Hg 0.000 0.500 0.768 1
Hg3 Hg 0.500 0.000 0.268 1
Hg4 Hg 0.500 0.500 0.032 1
```

=====

Material: CaFeHg2
Method: DFT, PBE
State: relaxed

Calculated values
- Space-group type: I-42d

Geometry as CIF:
```
data_CaFeHg2
_cell_length_a 4.882
_cell_length_b 4.882
_cell_length_c 18.188
_cell_angle_alpha 90.00
_cell_angle_beta 90.00
_cell_angle_gamma 90.00
_symmetry_space_group_name_H-M 'P 1'
_symmetry_Int_Tables_number 1
loop_
_symmetry_equiv_pos_as_xyz
'x,y,z'
loop_
_atom_site_label
_atom_site_type_symbol
_atom_site_fract_x
_atom_site_fract_y
_atom_site_fract_z
_atom_site_occupancy
Ca1 Ca 0.000 0.000 0.000 1
Ca2 Ca 0.000 0.500 0.250 1
Ca3 Ca 0.500 0.000 0.750 1
Ca4 Ca 0.500 0.500 0.500 1
Fe1 Fe 0.000 0.000 0.500 1
Fe2 Fe 0.000 0.500 0.750 1
Fe3 Fe 0.500 0.000 0.250 1
Fe4 Fe 0.500 0.500 0.000 1
Hg1 Hg 0.165 0.250 0.625 1
Hg2 Hg 0.250 0.665 0.875 1
Hg3 Hg 0.250 0.835 0.375 1
Hg4 Hg 0.335 0.250 0.125 1
Hg5 Hg 0.665 0.750 0.125 1
Hg6 Hg 0.750 0.165 0.375 1
Hg7 Hg 0.750 0.335 0.875 1
Hg8 Hg 0.835 0.750 0.625 1
```

=====

Material: CaFeHg2
Method: DFT, PBE
State: relaxed

Calculated values
- Space-group type: F-43m

Geometry as CIF:
```
data_CaFeHg2
_cell_length_a 7.047
_cell_length_b 7.047
_cell_length_c 7.047
_cell_angle_alpha 90.00
_cell_angle_beta 90.00
_cell_angle_gamma 90.00
_symmetry_space_group_name_H-M 'P 1'
_symmetry_Int_Tables_number 1
loop_
_symmetry_equiv_pos_as_xyz
'x,y,z'
loop_
_atom_site_label
_atom_site_type_symbol
_atom_site_fract_x
_atom_site_fract_y
_atom_site_fract_z
_atom_site_occupancy
Ca1 Ca 0.000 0.000 0.000 1
Ca2 Ca 0.000 0.500 0.500 1
Ca3 Ca 0.500 0.000 0.500 1
Ca4 Ca 0.500 0.500 0.000 1
Fe1 Fe 0.250 0.250 0.250 1
Fe2 Fe 0.250 0.750 0.750 1
Fe3 Fe 0.750 0.250 0.750 1
Fe4 Fe 0.750 0.750 0.250 1
Hg1 Hg 0.000 0.000 0.500 1
Hg2 Hg 0.000 0.500 0.000 1
Hg3 Hg 0.250 0.250 0.750 1
Hg4 Hg 0.250 0.750 0.250 1
Hg5 Hg 0.500 0.000 0.000 1
Hg6 Hg 0.500 0.500 0.500 1
Hg7 Hg 0.750 0.250 0.250 1
Hg8 Hg 0.750 0.750 0.750 1
```

=====

Material: CaFeHg2
Method: DFT, PBE
State: relaxed

Calculated values
- Space-group type: Pm

Geometry as CIF:
```
data_CaFeHg2
_cell_length_a 3.499
_cell_length_b 4.805
_cell_length_c 5.620
_cell_angle_alpha 90.00
_cell_angle_beta 90.76
_cell_angle_gamma 90.00
_symmetry_space_group_name_H-M 'P 1'
_symmetry_Int_Tables_number 1
loop_
_symmetry_equiv_pos_as_xyz
'x,y,z'
loop_
_atom_site_label
_atom_site_type_symbol
_atom_site_fract_x
_atom_site_fract_y
_atom_site_fract_z
_atom_site_occupancy
Ca1 Ca 0.000 0.000 0.000 1
Fe1 Fe 0.513 0.500 0.263 1
Hg1 Hg 0.494 0.500 0.775 1
Hg2 Hg 0.500 0.000 0.472 1
```

=====

Material: CaFeHg2
Method: DFT, PBE
State: relaxed

Calculated values
- Space-group type: P4/mmm

Geometry as CIF:
```
data_CaFeHg2
_cell_length_a 4.594
_cell_length_b 4.594
_cell_length_c 4.168
_cell_angle_alpha 90.00
_cell_angle_beta 90.00
_cell_angle_gamma 90.00
_symmetry_space_group_name_H-M 'P 1'
_symmetry_Int_Tables_number 1
loop_
_symmetry_equiv_pos_as_xyz
'x,y,z'
loop_
_atom_site_label
_atom_site_type_symbol
_atom_site_fract_x
_atom_site_fract_y
_atom_site_fract_z
_atom_site_occupancy
Ca1 Ca 0.000 0.000 0.000 1
Fe1 Fe 0.500 0.500 0.000 1
Hg1 Hg 0.000 0.500 0.500 1
Hg2 Hg 0.500 0.000 0.500 1
```

=====

Material: Ca2Fe2Hg
Method: DFT, PBE
State: relaxed

Calculated values
- Space-group type: I4/mmm
- Distance to the lowest polymorph of the same formula: 0.0 kJ/mol of atoms

Geometry as CIF:
```
data_Ca2Fe2Hg
_cell_length_a 3.280
_cell_length_b 3.280
_cell_length_c 19.438
_cell_angle_alpha 90.00
_cell_angle_beta 90.00
_cell_angle_gamma 90.00
_symmetry_space_group_name_H-M 'P 1'
_symmetry_Int_Tables_number 1
loop_
_symmetry_equiv_pos_as_xyz
'x,y,z'
loop_
_atom_site_label
_atom_site_type_symbol
_atom_site_fract_x
_atom_site_fract_y
_atom_site_fract_z
_atom_site_occupancy
Ca1 Ca 0.000 0.000 0.122 1
Ca2 Ca 0.000 0.000 0.878 1
Ca3 Ca 0.500 0.500 0.378 1
Ca4 Ca 0.500 0.500 0.622 1
Fe1 Fe 0.000 0.500 0.250 1
Fe2 Fe 0.000 0.500 0.750 1
Fe3 Fe 0.500 0.000 0.250 1
Fe4 Fe 0.500 0.000 0.750 1
Hg1 Hg 0.000 0.000 0.500 1
Hg2 Hg 0.500 0.500 0.000 1
```

=====

no.,V (Å³ per cell),formation enthalpy at 0 K (eV per atom)
1,178.5,0.162
2,433.5,0.298
3,350.0,0.217
4,94.5,0.126
5,88.0,0.124
6,209.1,0.278